First-principles (GGA-PBE) data for a relaxed FeSiAu2 crystal, as listed in the Alexandria database.

Cell: 3.4302 2.8611 6.4678 Å, 77.23 90.00 90.00°
With the nearest neighbours (Å) after each atom.
Positions (direct):
Si: 0.5000 0.9710 0.6826  4 Fe 2.35, 3 Au 2.52-2.57
Au: 0.5000 0.1749 0.2756  1 Si 2.57, 2 Au 2.86
Au: 0.0000 0.8249 0.9755  2 Si 2.52
Fe: 0.0000 0.5291 0.5663  4 Si 2.35

Values from the calculation:
As for the energy relative to the elements, uncorrected: 1 meV per atom. Its energy is -5.109 eV/atom.